#P
The following is a PBE calculation of a relaxed Mo4Ir crystal, from Alexandria via LeMat-Bulk.

## Properties
Crystal system: trigonal
DOS(E_F), states/eV/cell: 4.90

Cell lengths 11.971, 11.971, 11.971 Å; angles 13.29, 13.29, 13.29 degrees
Atoms (fractional coordinates):
Mo 0.104 0.104 0.104
Mo 0.299 0.299 0.299
Mo 0.701 0.701 0.701
Mo 0.896 0.896 0.896
Ir 0.500 0.500 0.500

=====

#Q
The following is a PBE calculation of a relaxed Mo4Ir crystal, from Alexandria via LeMat-Bulk.

## Properties
Crystal system: tetragonal
DOS(E_F), states/eV/cell: 5.62

Cell lengths 6.176, 6.176, 6.176 Å; angles 141.94, 141.94, 54.91 degrees
Atoms (fractional coordinates):
Mo 0.110 0.110 0.000
Mo 0.250 0.750 0.500
Mo 0.750 0.250 0.500
Mo 0.890 0.890 0.000
Ir 0.500 0.500 0.000

=====

Least stable of them? #Q.

=====

#P
The following is a PBE calculation of a relaxed MoIr3N crystal, from Alexandria via LeMat-Bulk.

## Properties
Crystal system: cubic
DOS(E_F), states/eV/cell: 4.57

Cell lengths 4.102, 4.102, 4.102 Å; angles 90.00, 90.00, 90.00 degrees
Atoms (fractional coordinates):
Mo 0.000 0.000 0.000
Ir 0.000 0.500 0.500
Ir 0.500 0.000 0.500
Ir 0.500 0.500 0.000
N 0.500 0.500 0.500

=====

#Q
The following is a PBE calculation of a relaxed MoIr3N crystal, from Alexandria via LeMat-Bulk.

## Properties
Crystal system: cubic
DOS(E_F), states/eV/cell: 4.55

Cell lengths 4.746, 4.746, 4.746 Å; angles 90.00, 90.00, 90.00 degrees
Atoms (fractional coordinates):
Mo 0.000 0.000 0.000
Ir 0.000 0.000 0.500
Ir 0.000 0.500 0.000
Ir 0.500 0.000 0.000
N 0.500 0.500 0.500

=====

Least stable of them? #Q.

=====

#P
The following is a PBE calculation of a relaxed Mo3IrN crystal, from Alexandria via LeMat-Bulk.

## Properties
Crystal system: cubic
DOS(E_F), states/eV/cell: 7.17

Cell lengths 4.724, 4.724, 4.724 Å; angles 90.00, 90.00, 90.00 degrees
Atoms (fractional coordinates):
Mo 0.000 0.000 0.500
Mo 0.000 0.500 0.000
Mo 0.500 0.000 0.000
Ir 0.000 0.000 0.000
N 0.500 0.500 0.500

=====

#Q
The following is a PBE calculation of a relaxed Mo3IrN crystal, from Alexandria via LeMat-Bulk.

## Properties
Crystal system: cubic
DOS(E_F), states/eV/cell: 5.29

Cell lengths 4.094, 4.094, 4.094 Å; angles 90.00, 90.00, 90.00 degrees
Atoms (fractional coordinates):
Mo 0.000 0.000 0.500
Mo 0.000 0.500 0.000
Mo 0.500 0.000 0.000
Ir 0.500 0.500 0.500
N 0.000 0.000 0.000

=====

Least stable of them? #P.

=====

#P
The following is a PBE calculation of a relaxed MoIrS2N crystal, from Alexandria via LeMat-Bulk.

## Properties
Crystal system: tetragonal
DOS(E_F), states/eV/cell: 2.24

Cell lengths 4.849, 4.849, 3.639 Å; angles 90.00, 90.00, 90.00 degrees
Atoms (fractional coordinates):
Mo 0.000 0.000 0.000
Ir 0.500 0.500 0.500
S 0.000 0.500 0.500
S 0.500 0.000 0.500
N 0.500 0.500 0.000

=====

#Q
The following is a PBE calculation of a relaxed MoIrS2N crystal, from Alexandria via LeMat-Bulk.

## Properties
Crystal system: tetragonal
DOS(E_F), states/eV/cell: 3.75

Cell lengths 4.762, 4.762, 3.709 Å; angles 90.00, 90.00, 90.00 degrees
Atoms (fractional coordinates):
Mo 0.000 0.000 0.000
Ir 0.500 0.500 0.500
S 0.000 0.500 0.000
S 0.500 0.000 0.000
N 0.000 0.000 0.500

=====

Least stable of them? #Q.

=====

#P
The following is a PBE calculation of a relaxed Na2MoIr crystal, from Alexandria via LeMat-Bulk.

## Properties
Crystal system: tetragonal
DOS(E_F), states/eV/cell: 6.44

Cell lengths 7.286, 7.286, 7.286 Å; angles 96.12, 96.12, 141.89 degrees
Atoms (fractional coordinates):
Na 0.016 0.125 0.391
Na 0.375 0.984 0.109
Na 0.734 0.625 0.609
Na 0.875 0.266 0.891
Mo 0.250 0.750 0.500
Mo 0.500 0.500 0.000
Ir 0.000 0.000 0.000
Ir 0.750 0.250 0.500

=====

#Q
The following is a PBE calculation of a relaxed Na2MoIr crystal, from Alexandria via LeMat-Bulk.

## Properties
Crystal system: cubic
DOS(E_F), states/eV/cell: 3.67

Cell lengths 4.728, 4.728, 4.728 Å; angles 60.00, 60.00, 60.00 degrees
Atoms (fractional coordinates):
Na 0.250 0.250 0.250
Na 0.750 0.750 0.750
Mo 0.000 0.000 0.000
Ir 0.500 0.500 0.500

=====

Least stable of them? #Q.

=====

#P
The following is a PBE calculation of a relaxed NaMoIr2 crystal, from Alexandria via LeMat-Bulk.

## Properties
Crystal system: tetragonal
DOS(E_F), states/eV/cell: 7.13

Cell lengths 5.833, 5.833, 5.833 Å; angles 103.00, 103.00, 123.39 degrees
Atoms (fractional coordinates):
Na 0.000 0.000 0.000
Na 0.750 0.250 0.500
Mo 0.250 0.750 0.500
Mo 0.500 0.500 0.000
Ir 0.171 0.125 0.546
Ir 0.375 0.829 0.954
Ir 0.579 0.625 0.454
Ir 0.875 0.421 0.046

=====

#Q
The following is a PBE calculation of a relaxed NaMoIr2 crystal, from Alexandria via LeMat-Bulk.

## Properties
Crystal system: cubic
DOS(E_F), states/eV/cell: 5.99

Cell lengths 4.430, 4.430, 4.430 Å; angles 60.00, 60.00, 60.00 degrees
Atoms (fractional coordinates):
Na 0.000 0.000 0.000
Mo 0.500 0.500 0.500
Ir 0.250 0.250 0.250
Ir 0.750 0.750 0.750

=====

Least stable of them? #P.

=====

#P
The following is a PBE calculation of a relaxed Na2Mo2Ir crystal, from Alexandria via LeMat-Bulk.

## Properties
Crystal system: tetragonal
DOS(E_F), states/eV/cell: 5.70

Cell lengths 8.220, 8.220, 8.220 Å; angles 155.12, 155.12, 35.48 degrees
Atoms (fractional coordinates):
Na 0.250 0.750 0.500
Na 0.750 0.250 0.500
Mo 0.072 0.072 0.000
Mo 0.928 0.928 0.000
Ir 0.500 0.500 0.000

=====

#Q
The following is a PBE calculation of a relaxed Na2Mo2Ir crystal, from Alexandria via LeMat-Bulk.

## Properties
Crystal system: tetragonal
DOS(E_F), states/eV/cell: 9.21

Cell lengths 6.315, 6.315, 5.472 Å; angles 90.00, 90.00, 90.00 degrees
Atoms (fractional coordinates):
Na 0.183 0.317 0.000
Na 0.317 0.817 0.000
Na 0.683 0.183 0.000
Na 0.817 0.683 0.000
Mo 0.128 0.628 0.500
Mo 0.372 0.128 0.500
Mo 0.628 0.872 0.500
Mo 0.872 0.372 0.500
Ir 0.000 0.000 0.500
Ir 0.500 0.500 0.500

=====

Least stable of them? #P.

=====

#P
The following is a PBE calculation of a relaxed Nb2Mo2Ir crystal, from Alexandria via LeMat-Bulk.

## Properties
Crystal system: tetragonal
DOS(E_F), states/eV/cell: 6.95

Cell lengths 6.549, 6.549, 4.113 Å; angles 90.00, 90.00, 90.00 degrees
Atoms (fractional coordinates):
Nb 0.180 0.320 0.000
Nb 0.320 0.820 0.000
Nb 0.680 0.180 0.000
Nb 0.820 0.680 0.000
Mo 0.132 0.632 0.500
Mo 0.368 0.132 0.500
Mo 0.632 0.868 0.500
Mo 0.868 0.368 0.500
Ir 0.000 0.000 0.500
Ir 0.500 0.500 0.500

=====

#Q
The following is a PBE calculation of a relaxed Nb2Mo2Ir crystal, from Alexandria via LeMat-Bulk.

## Properties
Crystal system: tetragonal
DOS(E_F), states/eV/cell: 5.84

Cell lengths 6.303, 6.303, 6.303 Å; angles 142.30, 142.30, 54.38 degrees
Atoms (fractional coordinates):
Nb 0.250 0.750 0.500
Nb 0.750 0.250 0.500
Mo 0.103 0.103 0.000
Mo 0.897 0.897 0.000
Ir 0.500 0.500 0.000

=====

Least stable of them? #Q.

=====

#P
The following is a PBE calculation of a relaxed Ni2MoIr crystal, from Alexandria via LeMat-Bulk.

## Properties
Crystal system: tetragonal
DOS(E_F), states/eV/cell: 6.52

Cell lengths 2.711, 2.711, 7.136 Å; angles 90.00, 90.00, 90.00 degrees
Atoms (fractional coordinates):
Ni 0.000 0.000 0.000
Ni 0.500 0.500 0.227
Mo 0.500 0.500 0.752
Ir 0.000 0.000 0.478

=====

#Q
The following is a PBE calculation of a relaxed Ni2MoIr crystal, from Alexandria via LeMat-Bulk.

## Properties
Crystal system: monoclinic
DOS(E_F), states/eV/cell: 4.82

Cell lengths 4.595, 4.595, 4.491 Å; angles 100.14, 100.14, 34.19 degrees
Atoms (fractional coordinates):
Ni 0.000 0.000 0.000
Ni 0.747 0.747 0.225
Mo 0.498 0.498 0.487
Ir 0.254 0.254 0.738

=====

Least stable of them? #P.

=====

#P
The following is a PBE calculation of a relaxed Ni2MoIr crystal, from Alexandria via LeMat-Bulk.

## Properties
Crystal system: tetragonal
DOS(E_F), states/eV/cell: 3.95

Cell lengths 4.600, 4.600, 4.600 Å; angles 132.45, 132.45, 69.52 degrees
Atoms (fractional coordinates):
Ni 0.000 0.000 0.000
Ni 0.750 0.250 0.500
Mo 0.250 0.750 0.500
Ir 0.500 0.500 0.000

=====

#Q
The following is a PBE calculation of a relaxed Ni2MoIr crystal, from Alexandria via LeMat-Bulk.

## Properties
Crystal system: tetragonal
DOS(E_F), states/eV/cell: 4.58

Cell lengths 4.599, 4.599, 4.599 Å; angles 132.37, 132.37, 69.65 degrees
Atoms (fractional coordinates):
Ni 0.250 0.750 0.500
Ni 0.750 0.250 0.500
Mo 0.000 0.000 0.000
Ir 0.500 0.500 0.000

=====

#R
The following is a PBE calculation of a relaxed Ni2MoIr crystal, from Alexandria via LeMat-Bulk.

## Properties
Crystal system: cubic
DOS(E_F), states/eV/cell: 4.11

Cell lengths 4.187, 4.187, 4.187 Å; angles 60.00, 60.00, 60.00 degrees
Atoms (fractional coordinates):
Ni 0.250 0.250 0.250
Ni 0.750 0.750 0.750
Mo 0.000 0.000 0.000
Ir 0.500 0.500 0.500

=====

Least stable of them? #R.

=====

#P
The following is a PBE calculation of a relaxed Ni2MoIr crystal, from Alexandria via LeMat-Bulk.

## Properties
Crystal system: orthorhombic
DOS(E_F), states/eV/cell: 11.25

Cell lengths 9.279, 4.263, 5.246 Å; angles 90.00, 90.00, 90.00 degrees
Atoms (fractional coordinates):
Ni 0.083 0.250 0.241
Ni 0.163 0.750 0.006
Ni 0.337 0.250 0.506
Ni 0.417 0.750 0.741
Ni 0.583 0.250 0.259
Ni 0.663 0.750 0.494
Ni 0.837 0.250 0.994
Ni 0.917 0.750 0.759
Mo 0.080 0.250 0.750
Mo 0.420 0.750 0.250
Mo 0.580 0.250 0.750
Mo 0.920 0.750 0.250
Ir 0.168 0.750 0.502
Ir 0.332 0.250 0.002
Ir 0.668 0.750 0.998
Ir 0.832 0.250 0.498

=====

#Q
The following is a PBE calculation of a relaxed Ni2MoIr crystal, from Alexandria via LeMat-Bulk.

## Properties
Crystal system: orthorhombic
DOS(E_F), states/eV/cell: 3.76

Cell lengths 2.706, 3.698, 5.240 Å; angles 90.00, 90.00, 90.00 degrees
Atoms (fractional coordinates):
Ni 0.000 0.000 0.000
Ni 0.500 0.500 0.219
Mo 0.500 0.500 0.745
Ir 0.000 0.000 0.483

=====

Least stable of them? #Q.

=====

#P
The following is a PBE calculation of a relaxed Ni2MoIr crystal, from Alexandria via LeMat-Bulk.

## Properties
Crystal system: monoclinic
DOS(E_F), states/eV/cell: 5.39

Cell lengths 4.543, 4.543, 4.611 Å; angles 100.13, 100.13, 34.49 degrees
Atoms (fractional coordinates):
Ni 0.247 0.247 0.254
Ni 0.753 0.753 0.746
Mo 0.000 0.000 0.500
Ir 0.500 0.500 0.000

=====

#Q
The following is a PBE calculation of a relaxed Ni2MoIr crystal, from Alexandria via LeMat-Bulk.

## Properties
Crystal system: trigonal
DOS(E_F), states/eV/cell: 5.23

Cell lengths 8.631, 8.631, 8.631 Å; angles 17.96, 17.96, 17.96 degrees
Atoms (fractional coordinates):
Ni 0.000 0.000 0.000
Ni 0.256 0.256 0.256
Mo 0.751 0.751 0.751
Ir 0.505 0.505 0.505

=====

#R
The following is a PBE calculation of a relaxed Ni2MoIr crystal, from Alexandria via LeMat-Bulk.

## Properties
Crystal system: trigonal
DOS(E_F), states/eV/cell: 5.34

Cell lengths 8.765, 8.765, 8.765 Å; angles 17.50, 17.50, 17.50 degrees
Atoms (fractional coordinates):
Ni 0.250 0.250 0.250
Ni 0.750 0.750 0.750
Mo 0.500 0.500 0.500
Ir 0.000 0.000 0.000

=====

#S
The following is a PBE calculation of a relaxed Ni2MoIr crystal, from Alexandria via LeMat-Bulk.

## Properties
Crystal system: tetragonal
DOS(E_F), states/eV/cell: 7.29

Cell lengths 2.634, 2.634, 7.549 Å; angles 90.00, 90.00, 90.00 degrees
Atoms (fractional coordinates):
Ni 0.000 0.000 0.244
Ni 0.000 0.000 0.756
Mo 0.500 0.500 0.500
Ir 0.500 0.500 0.000

=====

Least stable of them? #R.